# 1
VASP calculation (PBE) on an optimized crystal structure of CeSbAs2.

Properties
relative energy among the computed polymorphs = 0.1368 eV per atom
formation energy from raw total energies = -0.524 eV per atom
V = 94 Å³/cell
size of the total moment = 0.00 μB per atom

Cell: 3.8940 3.8940 6.2017 Å, 90.00 90.00 90.00°
Element x y z (fractional)
As (0.0000, 0.0000, 0.7240)
Sb (0.5000, 0.5000, 0.0000)
As (0.0000, 0.0000, 0.2760)
Ce (0.5000, 0.5000, 0.5000)

---

# 2
VASP calculation (PBE) on an optimized crystal structure of CeSbAs2.

Properties
relative energy among the computed polymorphs = 0.0000 eV per atom
formation energy from raw total energies = -0.661 eV per atom
V = 90 Å³/cell
size of the total moment = 0.00 μB per atom

Cell: 4.0156 4.7469 4.7469 Å, 90.00 90.00 90.00°
Element x y z (fractional)
Ce (0.5000, 0.5000, 0.5000)
As (0.0000, 0.0000, 0.5000)
Sb (0.5000, 0.0000, 0.0000)
As (0.0000, 0.5000, 0.0000)

---

# 3
VASP calculation (PBE) on an optimized crystal structure of Ce3SbAs2.

Properties
relative energy among the computed polymorphs = 0.3115 eV per atom
formation energy from raw total energies = -0.960 eV per atom
V = 337 Å³/cell
size of the total moment = 0.51 μB per atom

Cell: 4.7829 7.3531 10.1329 Å, 90.00 90.00 108.98°
Element x y z (fractional)
Sb (0.7717, 0.5434, 0.7500)
As (0.0000, 0.0000, 0.5000)
As (0.4896, 0.9792, 0.2500)
Ce (0.8930, 0.7859, 0.2500)
Ce (0.3693, 0.7386, 0.5487)
Ce (0.6307, 0.2614, 0.0487)
As (0.0000, 0.0000, 0.0000)
As (0.5104, 0.0208, 0.7500)
Ce (0.6307, 0.2614, 0.4513)
Ce (0.3693, 0.7386, 0.9513)
Sb (0.2283, 0.4566, 0.2500)
Ce (0.1070, 0.2141, 0.7500)

---

# 4
VASP calculation (PBE) on an optimized crystal structure of Ce2SbAs.

Properties
formation energy from raw total energies = -1.219 eV per atom
V = 117 Å³/cell
size of the total moment = 0.39 μB per atom

Cell: 4.3387 4.3375 7.5977 Å, 106.59 90.00 120.01°
Element x y z (fractional)
Sb (0.0000, 0.0000, 0.5000)
Ce (0.7560, 0.5120, 0.7683)
Ce (0.2440, 0.4880, 0.2317)
As (0.5000, 0.0000, 0.0000)

---

# 5
VASP calculation (PBE) on an optimized crystal structure of Ce6Sb3As2Se.

Properties
formation energy from raw total energies = -1.290 eV per atom
V = 351 Å³/cell
size of the total moment = 0.43 μB per atom

Cell: 4.3478 8.7336 9.7594 Å, 103.39 102.87 90.00°
Element x y z (fractional)
As (0.8334, 0.6671, 0.6667)
Se (0.5000, 0.0000, 0.0000)
Ce (0.3360, 0.9051, 0.6720)
Ce (0.6640, 0.0949, 0.3280)
Sb (0.8343, 0.1665, 0.6686)
Sb (0.1657, 0.8335, 0.3314)
As (0.1666, 0.3329, 0.3333)
Ce (0.6708, 0.5732, 0.3416)
Ce (0.3292, 0.4268, 0.6584)
Ce (0.0048, 0.2430, 0.0096)
Ce (0.9952, 0.7570, 0.9904)
Sb (0.5000, 0.5000, 0.0000)

---

# 6
VASP calculation (PBE) on an optimized crystal structure of Ce6Sb3AsSe2.

Properties
formation energy from raw total energies = -1.357 eV per atom
V = 351 Å³/cell
size of the total moment = 0.46 μB per atom

Cell: 4.3569 8.7108 9.7472 Å, 103.04 102.91 90.00°
Element x y z (fractional)
Ce (0.6617, 0.0903, 0.3233)
Se (0.8336, 0.6671, 0.6671)
Ce (0.0027, 0.2384, 0.0054)
Ce (0.3383, 0.9097, 0.6767)
Ce (0.6702, 0.5742, 0.3403)
Sb (0.5000, 0.5000, 0.0000)
Ce (0.9973, 0.7616, 0.9946)
Ce (0.3298, 0.4258, 0.6597)
As (0.5000, 0.0000, 0.0000)
Sb (0.8323, 0.1672, 0.6646)
Se (0.1664, 0.3329, 0.3329)
Sb (0.1677, 0.8328, 0.3354)

---

# 7
VASP calculation (PBE) on an optimized crystal structure of Ce6SbAs2Se3.

Properties
formation energy from raw total energies = -1.558 eV per atom
V = 329 Å³/cell
size of the total moment = 0.47 μB per atom

Cell: 4.2678 8.5289 9.5201 Å, 102.52 102.95 90.00°
Element x y z (fractional)
Ce (0.6716, 0.0902, 0.3432)
As (0.1676, 0.3340, 0.3353)
Se (0.1643, 0.8320, 0.3285)
Ce (0.6679, 0.5799, 0.3357)
As (0.8324, 0.6660, 0.6647)
Ce (0.9974, 0.7368, 0.9947)
Se (0.8357, 0.1680, 0.6715)
Ce (0.3284, 0.9098, 0.6568)
Ce (0.3321, 0.4201, 0.6643)
Ce (0.0026, 0.2632, 0.0053)
Sb (0.5000, 0.0000, 0.0000)
Se (0.5000, 0.5000, 0.0000)

---

# 8
VASP calculation (PBE) on an optimized crystal structure of Ce4SbAsSe2.

Properties
formation energy from raw total energies = -1.517 eV per atom
V = 447 Å³/cell
size of the total moment = 0.48 μB per atom

Cell: 8.5809 8.5809 8.5813 Å, 120.00 120.00 90.02°
Element x y z (fractional)
Sb (0.5001, 0.5001, 0.5001)
Ce (0.2480, 0.2520, 0.9887)
Ce (0.7488, 0.2596, 0.0042)
Ce (0.7520, 0.7480, 0.4886)
Se (0.0001, 0.0001, 0.5001)
Se (0.5000, 0.0000, 0.0001)
Ce (0.2511, 0.7403, 0.9957)
Sb (0.9999, 0.9999, 0.9999)
Ce (0.7597, 0.2489, 0.5043)
As (0.0000, 0.5000, 0.0001)
Ce (0.2480, 0.2520, 0.5112)
Ce (0.7520, 0.7480, 0.0114)
Se (0.4999, 0.4999, 0.9999)
As (0.0000, 0.5000, 0.4999)
Se (0.5000, 0.0000, 0.4999)
Ce (0.2404, 0.7512, 0.4958)

---

# 9
VASP calculation (PBE) on an optimized crystal structure of CeSmSbAs.

Properties
formation energy from raw total energies = -1.284 eV per atom
V = 116 Å³/cell
size of the total moment = 0.18 μB per atom

Cell: 4.3329 4.3329 7.5752 Å, 73.38 73.38 60.00°
Element x y z (fractional)
Ce (0.9942, 0.9942, 0.0173)
Sm (0.5056, 0.5056, 0.4832)
Sb (0.7497, 0.7497, 0.7508)
As (0.2504, 0.2504, 0.2487)

---

# 10
VASP calculation (PBE) on an optimized crystal structure of Ce4SnSb2As.

Properties
formation energy from raw total energies = -0.974 eV per atom
V = 246 Å³/cell
size of the total moment = 0.33 μB per atom

Cell: 4.4186 7.6707 7.6834 Å, 70.66 90.00 90.00°
Element x y z (fractional)
Ce (0.0000, 0.7435, 0.7439)
Ce (0.5000, 0.2625, 0.7379)
Ce (0.0000, 0.2565, 0.2561)
Sn (0.5000, 0.5000, 0.0000)
Sb (0.0000, 0.0000, 0.0000)
Ce (0.5000, 0.7375, 0.2621)
As (0.0000, 0.5000, 0.5000)
Sb (0.5000, 0.0000, 0.5000)

---

# 11
VASP calculation (PBE) on an optimized crystal structure of Ce6SbTe3As2.

Properties
formation energy from raw total energies = -1.347 eV per atom
V = 364 Å³/cell
size of the total moment = 0.51 μB per atom

Cell: 4.3817 8.8780 9.8773 Å, 103.48 102.82 90.00°
Element x y z (fractional)
Sb (0.5000, 0.0000, 0.0000)
Ce (0.3279, 0.4303, 0.6558)
Ce (0.0091, 0.2528, 0.0182)
Ce (0.3320, 0.8969, 0.6639)
Ce (0.9909, 0.7472, 0.9818)
Te (0.1630, 0.8324, 0.3260)
As (0.1684, 0.3351, 0.3367)
As (0.8316, 0.6649, 0.6633)
Ce (0.6721, 0.5697, 0.3442)
Te (0.5000, 0.5000, 0.0000)
Ce (0.6680, 0.1031, 0.3361)
Te (0.8370, 0.1676, 0.6740)

---

# 12
VASP calculation (PBE) on an optimized crystal structure of Ce6Sb2Te3As.

Properties
formation energy from raw total energies = -1.277 eV per atom
V = 376 Å³/cell
size of the total moment = 0.18 μB per atom

Cell: 4.4309 8.9648 9.9551 Å, 102.72 102.86 90.00°
Element x y z (fractional)
Te (0.5000, 0.5000, 0.0000)
Ce (0.3325, 0.4189, 0.6650)
Ce (0.6585, 0.0813, 0.3170)
Ce (0.0007, 0.7700, 0.0014)
As (0.5000, 0.0000, 0.0000)
Te (0.1698, 0.8350, 0.3397)
Te (0.8302, 0.1650, 0.6603)
Sb (0.1656, 0.3324, 0.3312)
Ce (0.9993, 0.2300, 0.9986)
Ce (0.3415, 0.9187, 0.6830)
Sb (0.8344, 0.6676, 0.6688)
Ce (0.6675, 0.5811, 0.3350)